Entry 1:
This record from Alexandria via LeMat-Bulk describes a relaxed structure of LiScSnHg. The functional is GGA-PBE.

Computed properties:
M_tot	0.00	μB/cell
density of states at the Fermi level	6.21	states/eV per cell
formation enthalpy at 0 K	-0.462	eV/atom
energy above the most stable polymorph in this dataset	0.02	eV/f.u.

```
data_LiScSnHg
_chemical_formula_sum 'Li4 Sc4 Sn4 Hg4'
_cell_length_a 6.9652
_cell_length_b 6.9652
_cell_length_c 6.9652
_cell_angle_alpha 90.00
_cell_angle_beta 90.00
_cell_angle_gamma 90.00
_space_group_name_H-M_alt 'F -4 3 m'
_space_group_IT_number 216
_space_group_name_Hall 'F -4 2 3'
loop_
_atom_site_label
_atom_site_fract_x
_atom_site_fract_y
_atom_site_fract_z
Li1 0.0000 0.0000 0.0000
Sc1 0.0000 0.0000 0.5000
Sn1 0.2500 0.2500 0.7500
Hg1 0.2500 0.2500 0.2500
```

Entry 2:
This record from Alexandria via LeMat-Bulk describes a relaxed structure of LiTbScHg. The functional is GGA-PBE.

Computed properties:
M_tot	0.00	μB/cell
density of states at the Fermi level	19.54	states/eV per cell
formation enthalpy at 0 K	-0.198	eV/atom

```
data_LiTbScHg
_chemical_formula_sum 'Li4 Tb4 Sc4 Hg4'
_cell_length_a 7.1961
_cell_length_b 7.1961
_cell_length_c 7.1961
_cell_angle_alpha 90.00
_cell_angle_beta 90.00
_cell_angle_gamma 90.00
_space_group_name_H-M_alt 'F -4 3 m'
_space_group_IT_number 216
_space_group_name_Hall 'F -4 2 3'
loop_
_atom_site_label
_atom_site_fract_x
_atom_site_fract_y
_atom_site_fract_z
Li1 0.0000 0.0000 0.0000
Tb1 0.2500 0.2500 0.7500
Sc1 0.2500 0.2500 0.2500
Hg1 0.0000 0.0000 0.5000
```

Entry 3:
This record from Alexandria via LeMat-Bulk describes a relaxed structure of LiTbSc2Hg4. The functional is GGA-PBE.

Computed properties:
M_tot	0.00	μB/cell
density of states at the Fermi level	19.26	states/eV per cell
formation enthalpy at 0 K	-0.409	eV/atom

```
data_LiTbSc2Hg4
_chemical_formula_sum 'Li3 Tb3 Sc6 Hg12'
_cell_length_a 4.9467
_cell_length_b 4.9467
_cell_length_c 25.2840
_cell_angle_alpha 90.00
_cell_angle_beta 90.00
_cell_angle_gamma 120.00
_space_group_name_H-M_alt 'R -3 m'
_space_group_IT_number 166
_space_group_name_Hall '-R 3 2"'
loop_
_atom_site_label
_atom_site_fract_x
_atom_site_fract_y
_atom_site_fract_z
Li1 0.0000 0.0000 0.0000
Tb1 0.0000 0.0000 0.5000
Sc1 0.0000 0.0000 0.2556
Hg1 0.0000 0.0000 0.1154
Hg2 0.0000 0.0000 0.3727
```

Entry 4:
This record from Alexandria via LeMat-Bulk describes a relaxed structure of Li2ThScHg4. The functional is GGA-PBE.

Computed properties:
M_tot	0.00	μB/cell
density of states at the Fermi level	14.20	states/eV per cell
formation enthalpy at 0 K	-0.336	eV/atom

```
data_Li2ThScHg4
_chemical_formula_sum 'Li6 Th3 Sc3 Hg12'
_cell_length_a 4.8984
_cell_length_b 4.8984
_cell_length_c 25.5991
_cell_angle_alpha 90.00
_cell_angle_beta 90.00
_cell_angle_gamma 120.00
_space_group_name_H-M_alt 'R -3 m'
_space_group_IT_number 166
_space_group_name_Hall '-R 3 2"'
loop_
_atom_site_label
_atom_site_fract_x
_atom_site_fract_y
_atom_site_fract_z
Li1 0.0000 0.0000 0.2434
Th1 0.0000 0.0000 0.0000
Sc1 0.0000 0.0000 0.5000
Hg1 0.0000 0.0000 0.1276
Hg2 0.0000 0.0000 0.3868
```